Entry 1:
PaTiVGa after structural relaxation. Source: Alexandria, functional PBE.

Properties
Density of states at the Fermi level in states/eV per cell: 19.492
Energy relative to the elements in eV/atom: -0.102
Magnetization in μB/f.u.: 0.02
Calculated density in Mg/m³: 9.74

Structure (CIF):
```
data_PaTiVGa
_chemical_formula_sum 'Pa4 Ti4 V4 Ga4'
_cell_length_a 6.4827
_cell_length_b 6.4827
_cell_length_c 6.4827
_cell_angle_alpha 90.00
_cell_angle_beta 90.00
_cell_angle_gamma 90.00
_symmetry_space_group_name_H-M 'F -4 3 m'
_symmetry_Int_Tables_number 216
_symmetry_space_group_name_Hall 'F -4 2 3'
loop_
_atom_site_label
_atom_site_fract_x
_atom_site_fract_y
_atom_site_fract_z
Pa1 0.0000 0.0000 0.0000
Ti1 0.2500 0.2500 0.7500
V1 0.2500 0.2500 0.2500
Ga1 0.0000 0.0000 0.5000
```

Entry 2:
MgCoP after structural relaxation. Source: Alexandria, functional PBE.

Properties
Density of states at the Fermi level in states/eV per cell: 3.160
Energy relative to the elements in eV/atom: -0.304
Magnetization in μB/f.u.: 0.00
Calculated density in Mg/m³: 4.57

Structure (CIF):
```
data_MgCoP
_chemical_formula_sum 'Mg2 Co2 P2'
_cell_length_a 2.9590
_cell_length_b 2.9590
_cell_length_c 9.4726
_cell_angle_alpha 90.00
_cell_angle_beta 90.00
_cell_angle_gamma 90.00
_symmetry_space_group_name_H-M 'I 4 m m'
_symmetry_Int_Tables_number 107
_symmetry_space_group_name_Hall 'I 4 -2'
loop_
_atom_site_label
_atom_site_fract_x
_atom_site_fract_y
_atom_site_fract_z
Mg1 0.0000 0.0000 0.0000
Co1 0.0000 0.0000 0.2986
P1 0.0000 0.0000 0.7027
```

Entry 3:
CaSm2Er after structural relaxation. Source: Alexandria, functional PBE.

Properties
Density of states at the Fermi level in states/eV per cell: 13.823
Energy relative to the elements in eV/atom: 0.139
Magnetization in μB/f.u.: 0.00
Calculated density in Mg/m³: 6.01
Energy above the most stable polymorph in this dataset in eV per atom: 0.091

Structure (CIF):
```
data_CaSm2Er
_chemical_formula_sum 'Ca3 Sm6 Er3'
_cell_length_a 3.5708
_cell_length_b 3.5708
_cell_length_c 38.1640
_cell_angle_alpha 90.00
_cell_angle_beta 90.00
_cell_angle_gamma 120.00
_symmetry_space_group_name_H-M 'R -3 m'
_symmetry_Int_Tables_number 166
_symmetry_space_group_name_Hall '-R 3 2"'
loop_
_atom_site_label
_atom_site_fract_x
_atom_site_fract_y
_atom_site_fract_z
Ca1 0.0000 0.0000 0.0000
Sm1 0.0000 0.0000 0.0921
Er1 0.0000 0.0000 0.5000
```

Entry 4:
Na3Fe5H12 after structural relaxation. Source: Alexandria, functional PBE.

Properties
VASP energy in Ha/atom: -0.1540
Density of states at the Fermi level in states/eV per cell: 79.890
Magnetization in μB/f.u.: 11.02
Calculated density in Mg/m³: 3.62

Structure (CIF):
```
data_Na3Fe5H12
_chemical_formula_sum 'Na24 Fe40 H96'
_cell_length_a 10.9771
_cell_length_b 10.9771
_cell_length_c 10.9771
_cell_angle_alpha 90.00
_cell_angle_beta 90.00
_cell_angle_gamma 90.00
_symmetry_space_group_name_H-M 'I a -3 d'
_symmetry_Int_Tables_number 230
_symmetry_space_group_name_Hall '-I 4bd 2c 3'
loop_
_atom_site_label
_atom_site_fract_x
_atom_site_fract_y
_atom_site_fract_z
Na1 0.0000 0.2500 0.1250
Fe1 0.0000 0.0000 0.0000
Fe2 0.0000 0.2500 0.3750
H1 0.0266 0.0485 0.6370
```

Entry 5:
Li5In2Hg5 after structural relaxation. Source: Alexandria, functional PBE.

Properties
Density of states at the Fermi level in states/eV per cell: 12.243
Energy relative to the elements in eV/atom: -0.253
Magnetization in μB/f.u.: 0.00
Calculated density in Mg/m³: 8.47

Structure (CIF):
```
data_Li5In2Hg5
_chemical_formula_sum 'Li15 In6 Hg15'
_cell_length_a 4.6750
_cell_length_b 4.6750
_cell_length_c 39.4027
_cell_angle_alpha 90.00
_cell_angle_beta 90.00
_cell_angle_gamma 120.00
_symmetry_space_group_name_H-M 'R -3 m'
_symmetry_Int_Tables_number 166
_symmetry_space_group_name_Hall '-R 3 2"'
loop_
_atom_site_label
_atom_site_fract_x
_atom_site_fract_y
_atom_site_fract_z
Li1 0.0000 0.0000 0.0000
Li2 0.0000 0.0000 0.1463
Li3 0.0000 0.0000 0.3772
In1 0.0000 0.0000 0.0743
Hg1 0.0000 0.0000 0.2187
Hg2 0.0000 0.0000 0.3052
Hg3 0.0000 0.0000 0.5000
```

Entry 6:
BeCo2AuN after structural relaxation. Source: Alexandria, functional PBE.

Properties
Energy relative to the elements, uncorrected in meV/atom: 360
Density of states at the Fermi level in states/eV per cell: 3.468
Magnetization in μB/f.u.: 0.64
Calculated density in Mg/m³: 9.53

Structure (CIF):
```
data_BeCo2AuN
_chemical_formula_sum 'Be1 Co2 Au1 N1'
_cell_length_a 3.6321
_cell_length_b 3.6321
_cell_length_c 4.4631
_cell_angle_alpha 90.00
_cell_angle_beta 90.00
_cell_angle_gamma 90.00
_symmetry_space_group_name_H-M 'P 4/m m m'
_symmetry_Int_Tables_number 123
_symmetry_space_group_name_Hall '-P 4 2'
loop_
_atom_site_label
_atom_site_fract_x
_atom_site_fract_y
_atom_site_fract_z
Be1 0.0000 0.0000 0.0000
Co1 0.0000 0.5000 0.5000
Au1 0.5000 0.5000 0.0000
N1 0.5000 0.5000 0.5000
```

Entry 7:
H4Pt2Br after structural relaxation. Source: Alexandria, functional PBE.

Properties
VASP energy in Ha/atom: -0.1249
Density of states at the Fermi level in states/eV per cell: 6.437
Magnetization in μB/f.u.: 0.23
Calculated density in Mg/m³: 5.86

Structure (CIF):
```
data_H4Pt2Br
_chemical_formula_sum 'H8 Pt4 Br2'
_cell_length_a 3.6713
_cell_length_b 3.6713
_cell_length_c 19.9434
_cell_angle_alpha 90.00
_cell_angle_beta 90.00
_cell_angle_gamma 90.00
_symmetry_space_group_name_H-M 'I 4/m m m'
_symmetry_Int_Tables_number 139
_symmetry_space_group_name_Hall '-I 4 2'
loop_
_atom_site_label
_atom_site_fract_x
_atom_site_fract_y
_atom_site_fract_z
H1 0.0000 0.0000 0.1645
H2 0.0000 0.5000 0.0000
Pt1 0.0000 0.0000 0.2417
Br1 0.0000 0.0000 0.0000
```

Entry 8:
NaLi3I4 after structural relaxation. Source: Alexandria, functional PBE.

Properties
Energy relative to the elements, uncorrected in meV/atom: -1214
Density of states at the Fermi level in states/eV per cell: 0.000
Magnetization in μB/f.u.: 0.00
Calculated density in Mg/m³: 3.16

Structure (CIF):
```
data_NaLi3I4
_chemical_formula_sum 'Na2 Li6 I8'
_cell_length_a 9.4254
_cell_length_b 8.1437
_cell_length_c 7.5455
_cell_angle_alpha 90.00
_cell_angle_beta 90.00
_cell_angle_gamma 90.00
_symmetry_space_group_name_H-M 'P m n 21'
_symmetry_Int_Tables_number 31
loop_
_symmetry_equiv_pos_as_xyz
'x,y,z'
'-x+1/2,-y,z+1/2'
'-x,y,z'
'x+1/2,-y,z+1/2'
loop_
_atom_site_label
_atom_site_fract_x
_atom_site_fract_y
_atom_site_fract_z
Na1 0.0000 0.1644 0.0000
Li1 0.0000 0.8235 0.4947
Li2 0.2477 0.3354 0.4982
I1 0.0000 0.1584 0.5873
I2 0.0000 0.8045 0.1254
I3 0.2330 0.6553 0.6285
```

Entry 9:
RbSiRu2 after structural relaxation. Source: Alexandria, functional PBE.

Properties
Energy relative to the elements, uncorrected in meV/atom: 777
Density of states at the Fermi level in states/eV per cell: 12.377
Magnetization in μB/f.u.: 0.00
Calculated density in Mg/m³: 5.25

Structure (CIF):
```
data_RbSiRu2
_chemical_formula_sum 'Rb4 Si4 Ru8'
_cell_length_a 4.8980
_cell_length_b 4.8980
_cell_length_c 16.6365
_cell_angle_alpha 90.00
_cell_angle_beta 90.00
_cell_angle_gamma 90.00
_symmetry_space_group_name_H-M 'I -4 2 d'
_symmetry_Int_Tables_number 122
_symmetry_space_group_name_Hall 'I -4 2bw'
loop_
_atom_site_label
_atom_site_fract_x
_atom_site_fract_y
_atom_site_fract_z
Rb1 0.0000 0.0000 0.0000
Si1 0.0000 0.0000 0.5000
Ru1 0.0298 0.2500 0.6250
```

Entry 10:
MnCd2Re after structural relaxation. Source: Alexandria, functional PBE.

Properties
Density of states at the Fermi level in states/eV per cell: 3.680
Energy relative to the elements in eV/atom: 0.729
Magnetization in μB/f.u.: 3.88
Calculated density in Mg/m³: 11.12
Energy above the most stable polymorph in this dataset in eV per atom: 0.488

Structure (CIF):
```
data_MnCd2Re
_chemical_formula_sum 'Mn1 Cd2 Re1'
_cell_length_a 3.4178
_cell_length_b 3.4178
_cell_length_c 5.9548
_cell_angle_alpha 90.00
_cell_angle_beta 90.00
_cell_angle_gamma 90.00
_symmetry_space_group_name_H-M 'P 4/m m m'
_symmetry_Int_Tables_number 123
_symmetry_space_group_name_Hall '-P 4 2'
loop_
_atom_site_label
_atom_site_fract_x
_atom_site_fract_y
_atom_site_fract_z
Mn1 0.0000 0.0000 0.0000
Cd1 0.5000 0.5000 0.2481
Re1 0.0000 0.0000 0.5000
```